(1)
A relaxed structure of ThSi4Os4. Source: the Alexandria database, functional GGA-PBE.

a = 5.966 Å, b = 5.966 Å, c = 8.113 Å
α = 90.00°, β = 90.00°, γ = 90.00°
Sites, in units of the cell vectors:
Th 0.250 0.750 0.250
Th 0.750 0.250 0.750
Si 0.052 0.250 0.072
Si 0.250 0.052 0.572
Si 0.250 0.448 0.572
Si 0.448 0.250 0.072
Si 0.552 0.750 0.928
Si 0.750 0.552 0.428
Si 0.750 0.948 0.428
Si 0.948 0.750 0.928
Os 0.008 0.250 0.371
Os 0.250 0.008 0.871
Os 0.250 0.492 0.871
Os 0.492 0.250 0.371
Os 0.508 0.750 0.629
Os 0.750 0.508 0.129
Os 0.750 0.992 0.129
Os 0.992 0.750 0.629

DOS(E_F) = 0.6097 states/eV/atom
V = 288.78 Å³ per cell
Formation energy (no corrections) = -0.4092 eV/atom
Crystal system = tetragonal
Total magnetic moment = 0.00 μB per formula unit
E_tot = -8.635 eV/atom

=====

(2)
A relaxed structure of Ce4HgRu2. Source: the Alexandria database, functional GGA-PBE.

a = 7.973 Å, b = 7.231 Å, c = 8.804 Å
α = 58.66°, β = 50.77°, γ = 70.57°
Sites, in units of the cell vectors:
Ce 0.028 0.972 0.156
Ce 0.094 0.406 0.222
Ce 0.166 0.504 0.753
Ce 0.406 0.094 0.278
Ce 0.497 0.673 0.084
Ce 0.504 0.166 0.577
Ce 0.673 0.497 0.746
Ce 0.972 0.028 0.844
Hg 0.657 0.657 0.343
Hg 0.907 0.907 0.593
Ru 0.136 0.500 0.442
Ru 0.328 0.808 0.750
Ru 0.500 0.136 0.922
Ru 0.808 0.328 0.114

DOS(E_F) = 1.7563 states/eV/atom
E_form = -286 meV per atom
V = 335.82 Å³ per cell
Crystal system = orthorhombic
Total magnetic moment = 0.00 μB per formula unit
E_tot = -6.370 eV/atom

=====

(3)
A relaxed structure of Ni3MoAu. Source: the Alexandria database, functional GGA-PBE.

a = 4.461 Å, b = 4.461 Å, c = 4.461 Å
α = 90.00°, β = 90.00°, γ = 90.00°
Sites, in units of the cell vectors:
Ni 0.000 0.000 0.500
Ni 0.000 0.500 0.000
Ni 0.500 0.000 0.000
Mo 0.000 0.000 0.000
Au 0.500 0.500 0.500

DOS(E_F) = 0.9904 states/eV/atom
E_form = 1320 meV per atom
V = 88.78 Å³ per cell
ΔE to the lowest computed polymorph = 0 meV/atom
Crystal system = cubic
Total magnetic moment = 0.00 μB per formula unit
E_tot = -4.970 eV/atom

=====

(4)
A relaxed structure of Pa2Be4TcGe3. Source: the Alexandria database, functional GGA-PBE.

a = 3.945 Å, b = 3.945 Å, c = 9.758 Å
α = 90.00°, β = 90.00°, γ = 90.00°
Sites, in units of the cell vectors:
Pa 0.000 0.500 0.244
Pa 0.500 0.000 0.756
Be 0.000 0.000 0.500
Be 0.000 0.500 0.868
Be 0.500 0.000 0.132
Be 0.500 0.500 0.500
Tc 0.500 0.500 0.000
Ge 0.000 0.000 0.000
Ge 0.000 0.500 0.631
Ge 0.500 0.000 0.369

DOS(E_F) = 0.8274 states/eV/atom
E_form = -238 meV per atom
V = 151.84 Å³ per cell
Crystal system = tetragonal
Total magnetic moment = 0.00 μB per formula unit
E_tot = -6.049 eV/atom

=====

(5)
A relaxed structure of CrSiIrRh. Source: the Alexandria database, functional GGA-PBE.

a = 4.251 Å, b = 4.251 Å, c = 4.251 Å
α = 60.00°, β = 60.00°, γ = 60.00°
Sites, in units of the cell vectors:
Cr 0.000 0.000 0.000
Si 0.500 0.500 0.500
Ir 0.250 0.250 0.250
Rh 0.750 0.750 0.750

DOS(E_F) = 0.4628 states/eV/atom
V = 54.34 Å³ per cell
Formation energy (no corrections) = -0.3598 eV/atom
Crystal system = cubic
Total magnetic moment = 3.91 μB per formula unit
E_tot = -8.174 eV/atom

=====

(6)
A relaxed structure of Sc2BeZn. Source: the Alexandria database, functional GGA-PBE.

a = 3.288 Å, b = 4.610 Å, c = 4.612 Å
α = 90.00°, β = 90.00°, γ = 90.00°
Sites, in units of the cell vectors:
Sc 0.000 0.000 0.000
Sc 0.000 0.500 0.497
Be 0.500 0.000 0.501
Zn 0.500 0.500 0.996

DOS(E_F) = 0.7636 states/eV/atom
E_form = -187 meV per atom
V = 69.90 Å³ per cell
ΔE to the lowest computed polymorph = 24 meV/atom
Crystal system = orthorhombic
Total magnetic moment = 0.00 μB per formula unit
E_tot = -4.603 eV/atom

=====

(7)
A relaxed structure of AlCdBr2. Source: the Alexandria database, functional GGA-PBE.

a = 11.185 Å, b = 11.185 Å, c = 11.185 Å
α = 19.72°, β = 19.72°, γ = 19.72°
Sites, in units of the cell vectors:
Al 0.000 0.000 0.000
Cd 0.500 0.500 0.500
Br 0.382 0.382 0.382
Br 0.618 0.618 0.618

DOS(E_F) = 0.8623 states/eV/atom
V = 139.40 Å³ per cell
ΔE to the lowest computed polymorph = 220 meV/atom
Formation energy (no corrections) = -0.2647 eV/atom
Crystal system = trigonal
Total magnetic moment = 0.00 μB per formula unit
E_tot = -2.266 eV/atom

=====

(8)
A relaxed structure of TlAs2S2. Source: the Alexandria database, functional GGA-PBE.

a = 6.031 Å, b = 6.031 Å, c = 6.031 Å
α = 130.84°, β = 130.84°, γ = 72.07°
Sites, in units of the cell vectors:
Tl 0.000 0.000 0.000
As 0.316 0.316 0.000
As 0.684 0.684 0.000
S 0.250 0.750 0.500
S 0.750 0.250 0.500

DOS(E_F) = 0.4549 states/eV/atom
V = 122.80 Å³ per cell
ΔE to the lowest computed polymorph = 76 meV/atom
Formation energy (no corrections) = 0.1136 eV/atom
Crystal system = tetragonal
Total magnetic moment = 0.00 μB per formula unit
E_tot = -3.870 eV/atom

=====

Question: Look up the total magnetic moment of the second one.
Answer: 0.00 μB per formula unit